[1]
The following is a PBE calculation of a relaxed structure of FeTcPd, from the Open Quantum Materials Database.

Output
E ... -7.441 eV/atom
E_form ... 0.51 eV per atom
Size of the total moment ... 6.66 Bohr magnetons per cell
Crystal system ... cubic
Excess energy over the best structure of this formula in the dataset ... 0.0 meV per atom

Structure (POSCAR):
```
FeTcPd
1.0
5.702 0.000 0.000
0.000 5.702 0.000
0.000 0.000 5.702
Fe Tc Pd
4 4 4
Direct
0.000 0.000 0.000 Fe
0.000 0.500 0.500 Fe
0.500 0.000 0.500 Fe
0.500 0.500 0.000 Fe
0.250 0.250 0.250 Tc
0.250 0.750 0.750 Tc
0.750 0.250 0.750 Tc
0.750 0.750 0.250 Tc
0.250 0.250 0.750 Pd
0.250 0.750 0.250 Pd
0.750 0.250 0.250 Pd
0.750 0.750 0.750 Pd
```

=====

[2]
The following is a PBE calculation of a relaxed structure of TbSmIn2, from the Open Quantum Materials Database.

Output
E ... -4.189 eV/atom
Size of the total moment ... 0.00 Bohr magnetons per cell
Crystal system ... tetragonal

Structure (POSCAR):
```
TbSmIn2
1.0
3.795 0.000 0.000
0.000 3.795 0.000
0.000 0.000 7.585
Tb Sm In
1 1 2
Direct
0.000 0.000 0.000 Tb
0.000 0.000 0.500 Sm
0.500 0.500 0.244 In
0.500 0.500 0.756 In
```

=====

[3]
The following is a PBE calculation of a relaxed structure of CdBW2, from the Open Quantum Materials Database.

Output
E ... -8.296 eV/atom
Size of the total moment ... 0.01 Bohr magnetons per cell
Crystal system ... hexagonal
Excess energy over the best structure of this formula in the dataset ... 0.0 meV per atom

Structure (POSCAR):
```
CdBW2
1.0
3.124 0.000 0.000
-1.562 2.705 0.000
0.000 0.000 14.368
Cd B W
2 2 4
Direct
0.333 0.667 0.250 Cd
0.667 0.333 0.750 Cd
0.000 0.000 0.000 B
0.000 0.000 0.500 B
0.333 0.667 0.581 W
0.333 0.667 0.919 W
0.667 0.333 0.081 W
0.667 0.333 0.419 W
```

=====

[4]
The following is a PBE calculation of a relaxed structure of LuTaN2O, from the Open Quantum Materials Database.

Output
E ... -9.096 eV/atom
Size of the total moment ... 0.00 Bohr magnetons per cell
Crystal system ... hexagonal

Structure (POSCAR):
```
LuTaN2O
1.0
6.112 0.000 0.000
-3.056 5.293 0.000
0.000 0.000 12.141
Lu Ta N O
6 6 12 6
Direct
0.000 0.000 0.000 Lu
0.000 0.000 0.500 Lu
0.333 0.667 0.474 Lu
0.333 0.667 0.974 Lu
0.667 0.333 0.474 Lu
0.667 0.333 0.974 Lu
0.000 0.333 0.234 Ta
0.000 0.667 0.734 Ta
0.333 0.000 0.234 Ta
0.333 0.333 0.734 Ta
0.667 0.000 0.734 Ta
0.667 0.667 0.234 Ta
0.000 0.314 0.394 N
0.000 0.353 0.074 N
0.000 0.647 0.574 N
0.000 0.686 0.894 N
0.314 0.000 0.394 N
0.314 0.314 0.894 N
0.353 0.000 0.074 N
0.353 0.353 0.574 N
0.647 0.000 0.574 N
0.647 0.647 0.074 N
0.686 0.000 0.894 N
0.686 0.686 0.394 N
0.000 0.000 0.216 O
0.000 0.000 0.716 O
0.333 0.667 0.244 O
0.333 0.667 0.744 O
0.667 0.333 0.244 O
0.667 0.333 0.744 O
```

=====

- Number 2 is which compound?
  TbSmIn2

=====

- Which value of E does entry 4 give?
  -9.096 eV/atom